# 1
Computed, not measured: a relaxed structure of SrIn2Au at the PBEsol level of DFT.

a b c (Å): 6.331 6.331 6.331
angles (deg): 43.42 43.42 43.42
Fractional coordinates of all 4 atoms:
Sr 0.000 0.000 0.000
In 0.213 0.213 0.213
In 0.451 0.451 0.451
Au 0.811 0.811 0.811

Mass density (kg/m³): 7852
ΔH_f (0 K) (eV/atom): -0.46

=====

# 2
Computed, not measured: a relaxed structure of Zr5Tc3 at the PBEsol level of DFT.

a b c (Å): 5.776 5.776 4.582
angles (deg): 90.00 90.00 108.65
Fractional coordinates of all 8 atoms:
Zr 0.000 0.000 0.000
Zr 0.000 0.500 0.000
Zr 0.269 0.269 0.500
Zr 0.500 0.000 0.000
Zr 0.731 0.731 0.500
Tc 0.243 0.757 0.500
Tc 0.500 0.500 0.000
Tc 0.757 0.243 0.500

Mass density (kg/m³): 8601
ΔH_f (0 K) (eV/atom): -0.19

=====

# 3
Computed, not measured: a relaxed structure of BiAu2 at the PBEsol level of DFT.

a b c (Å): 5.611 5.611 5.611
angles (deg): 60.00 60.00 60.00
Fractional coordinates of all 6 atoms:
Bi 0.125 0.125 0.125
Bi 0.875 0.875 0.875
Au 0.000 0.500 0.500
Au 0.500 0.000 0.500
Au 0.500 0.500 0.000
Au 0.500 0.500 0.500

Mass density (kg/m³): 16029
ΔH_f (0 K) (eV/atom): -0.07

=====

# 4
Computed, not measured: a relaxed structure of SbH7F12 at the PBEsol level of DFT.

a b c (Å): 7.857 7.857 5.154
angles (deg): 107.11 107.11 46.18
Fractional coordinates of all 20 atoms:
Sb 0.000 0.000 0.000
H 0.189 0.175 0.809
H 0.281 0.261 0.598
H 0.364 0.359 0.380
H 0.499 0.501 0.500
H 0.641 0.636 0.620
H 0.739 0.719 0.402
H 0.825 0.811 0.191
F 0.083 0.085 0.770
F 0.137 0.705 0.774
F 0.266 0.241 0.827
F 0.287 0.273 0.404
F 0.295 0.863 0.226
F 0.426 0.429 0.324
F 0.571 0.574 0.676
F 0.706 0.137 0.774
F 0.727 0.713 0.596
F 0.759 0.734 0.173
F 0.863 0.294 0.226
F 0.915 0.917 0.230

Energy (eV/atom): -4.375
Mass density (kg/m³): 2724

=====

# 5
Computed, not measured: a relaxed structure of Zr2FeW at the PBEsol level of DFT.

a b c (Å): 5.424 5.424 5.424
angles (deg): 145.62 130.93 61.28
Fractional coordinates of all 4 atoms:
Zr 0.000 0.000 0.000
Zr 0.732 0.232 0.500
Fe 0.249 0.749 0.500
W 0.467 0.467 0.000

E above lowest polymorph (kJ per mole of atoms): 0.0
Mass density (kg/m³): 10404
ΔH_f (0 K) (eV/atom): 0.07

=====

# 6
Computed, not measured: a relaxed structure of CsLiAgBr2 at the PBEsol level of DFT.

a b c (Å): 6.546 6.546 5.733
angles (deg): 90.00 90.00 90.00
Fractional coordinates of all 5 atoms:
Cs 0.000 0.000 0.000
Li 0.500 0.500 0.500
Ag 0.000 0.000 0.500
Br 0.000 0.500 0.000
Br 0.500 0.000 0.000

Formation energy (no corrections) (eV per atom): -0.165
Mass density (kg/m³): 2754

=====

# 7
Computed, not measured: a relaxed structure of NaHfBe3 at the PBEsol level of DFT.

a b c (Å): 4.139 4.139 4.139
angles (deg): 90.00 90.00 90.00
Fractional coordinates of all 5 atoms:
Na 0.000 0.000 0.000
Hf 0.500 0.500 0.500
Be 0.000 0.000 0.500
Be 0.000 0.500 0.000
Be 0.500 0.000 0.000

E above lowest polymorph (kJ per mole of atoms): 0.0
Mass density (kg/m³): 5353
ΔH_f (0 K) (eV/atom): 1.26

=====

# 8
Computed, not measured: a relaxed structure of MnAl at the PBEsol level of DFT.

a b c (Å): 2.873 2.873 5.836
angles (deg): 90.00 90.00 90.00
Fractional coordinates of all 4 atoms:
Mn 0.250 0.250 0.116
Mn 0.750 0.750 0.884
Al 0.250 0.250 0.653
Al 0.750 0.750 0.347

Mass density (kg/m³): 5648
ΔH_f (0 K) (eV/atom): -0.18

=====

# 9
Computed, not measured: a relaxed structure of Fe3PSe at the PBEsol level of DFT.

a b c (Å): 4.316 4.316 4.316
angles (deg): 90.00 90.00 90.00
Fractional coordinates of all 5 atoms:
Fe 0.000 0.000 0.500
Fe 0.000 0.500 0.000
Fe 0.500 0.000 0.000
P 0.500 0.500 0.500
Se 0.000 0.000 0.000

Formation energy (no corrections) (eV per atom): 0.952
E above lowest polymorph (kJ per mole of atoms): 53.8
Mass density (kg/m³): 5731

=====

# 10
Computed, not measured: a relaxed structure of SrIn2As at the PBEsol level of DFT.

a b c (Å): 3.988 6.310 6.310
angles (deg): 43.51 90.00 90.00
Fractional coordinates of all 4 atoms:
Sr 0.000 0.000 0.000
In 0.000 0.282 0.282
In 0.500 0.702 0.702
As 0.500 0.459 0.459

Mass density (kg/m³): 5958
ΔH_f (0 K) (eV/atom): -0.49

=====

# 11
Computed, not measured: a relaxed structure of YTl2AgN at the PBEsol level of DFT.

a b c (Å): 6.030 6.030 4.051
angles (deg): 90.00 90.00 90.00
Fractional coordinates of all 5 atoms:
Y 0.000 0.000 0.000
Tl 0.000 0.500 0.000
Tl 0.500 0.000 0.000
Ag 0.500 0.500 0.500
N 0.000 0.000 0.500

Formation energy (no corrections) (eV per atom): 0.598
Mass density (kg/m³): 6986

=====

# 12
Computed, not measured: a relaxed structure of NaAgAs3 at the PBEsol level of DFT.

a b c (Å): 4.895 4.895 4.895
angles (deg): 90.00 90.00 90.00
Fractional coordinates of all 5 atoms:
Na 0.000 0.000 0.000
Ag 0.500 0.500 0.500
As 0.000 0.000 0.500
As 0.000 0.500 0.000
As 0.500 0.000 0.000

Mass density (kg/m³): 5034
ΔH_f (0 K) (eV/atom): 1.17

=====

> Which of these has the highest mass density?

BiAu2